(P)
A plane-wave DFT calculation with PBE-GGA was carried out for a geometry-optimized Dy3Ho6Sc2 structure.

abc: 3.4912 3.4912 31.1477
angles: 86.79 86.79 60.00
Closest atoms and distances in Å follow each position.
Fractional positions:
Ho1 0.3644 0.3644 0.9069  6 Ho 3.49, 6 Dy 3.52-3.53
Dy1 0.2714 0.2714 0.1859  6 Dy 3.49, 6 Ho 3.52-3.54
Ho2 0.8177 0.8177 0.5469  3 Sc 3.37, 9 Ho 3.49-3.54
Ho3 0.0932 0.0932 0.7205  3 Sc 3.37, 6 Ho 3.49, 3 Dy 3.54
Ho4 0.6356 0.6356 0.0931  6 Ho 3.49, 6 Dy 3.52-3.53
Sc1 0.5445 0.5445 0.3664  6 Ho 3.37, 6 Sc 3.49
Dy2 0.7286 0.7286 0.8141  6 Dy 3.49, 6 Ho 3.52-3.54
Dy3 0.0000 0.0000 0.0000  6 Dy 3.49, 6 Ho 3.53
Sc2 0.4555 0.4555 0.6336  6 Ho 3.37, 6 Sc 3.49
Ho5 0.9068 0.9068 0.2795  3 Sc 3.37, 6 Ho 3.49, 3 Dy 3.54
Ho6 0.1823 0.1823 0.4531  3 Sc 3.37, 9 Ho 3.49-3.54

Results
crystal system	trigonal

(Q)
A plane-wave DFT calculation with PBE-GGA was carried out for a geometry-optimized Dy3Ho6Sc2 structure.

abc: 4.6790 4.6790 16.2579
angles: 98.27 98.27 90.00
Closest atoms and distances in Å follow each position.
Fractional positions:
Ho1 0.1161 0.6161 0.2323  2 Sc 3.29, 6 Ho 3.31-3.40, 2 Dy 3.53
Ho2 0.8839 0.3839 0.7677  2 Sc 3.29, 6 Ho 3.31-3.40, 2 Dy 3.53
Ho3 0.3839 0.8839 0.7677  2 Sc 3.29, 6 Ho 3.31-3.40, 2 Dy 3.53
Ho4 0.6161 0.1161 0.2323  2 Sc 3.29, 6 Ho 3.31-3.40, 2 Dy 3.53
Dy1 0.1991 0.1991 0.3981  9 Ho 3.31-3.53
Ho5 0.6937 0.6937 0.3873  5 Dy 3.31-3.42, 4 Ho 3.40
Dy2 0.8009 0.8009 0.6019  9 Ho 3.31-3.53
Sc1 0.5436 0.5436 0.0873  1 Sc 2.78
Dy3 0.0000 0.0000 0.0000  8 Sc 3.59
Ho6 0.3063 0.3063 0.6127  5 Dy 3.31-3.42, 4 Ho 3.40
Sc2 0.4564 0.4564 0.9127  1 Sc 2.78

Results
crystal system	tetragonal

Most favorable structure: (P). The second most favorable one is 25.6 kJ/mol of atoms above it.